[1]
Here is a relaxed Nb6AlGa crystal from Alexandria. Energies are from PBE.

Summary:
- E: -8.60 eV/atom
- Calculated formation energy: -200 meV per atom

Geometry as CIF:
```
data_Nb6AlGa
_cell_length_a 5.2046
_cell_length_b 5.2046
_cell_length_c 5.2046
_cell_angle_alpha 90.00
_cell_angle_beta 90.00
_cell_angle_gamma 90.00
_symmetry_space_group_name_H-M 'P m -3'
_symmetry_Int_Tables_number 200
_symmetry_space_group_name_Hall '-P 2 2 3'
loop_
_atom_site_label
_atom_site_type_symbol
_atom_site_fract_x
_atom_site_fract_y
_atom_site_fract_z
_atom_site_occupancy
Nb1 Nb 0.0000 0.2483 0.5000 1
Al1 Al 0.0000 0.0000 0.0000 1
Ga1 Ga 0.5000 0.5000 0.5000 1
```



[2]
Here is a relaxed Nb2AlGa crystal from Alexandria. Energies are from PBE.

Summary:
- E: -7.01 eV/atom
- Calculated formation energy: -282 meV per atom

Geometry as CIF:
```
data_Nb2AlGa
_cell_length_a 8.0726
_cell_length_b 6.6057
_cell_length_c 5.0259
_cell_angle_alpha 90.00
_cell_angle_beta 90.00
_cell_angle_gamma 90.00
_symmetry_space_group_name_H-M 'C m c m'
_symmetry_Int_Tables_number 63
_symmetry_space_group_name_Hall '-C 2c 2'
loop_
_atom_site_label
_atom_site_type_symbol
_atom_site_fract_x
_atom_site_fract_y
_atom_site_fract_z
_atom_site_occupancy
Nb1 Nb 0.1912 0.1676 0.2500 1
Al1 Al 0.0000 0.1580 0.7500 1
Ga1 Ga 0.0000 0.5000 0.0000 1
```



[3]
Here is a relaxed NbAl6Ga crystal from Alexandria. Energies are from PBE.

Summary:
- E: -4.33 eV/atom
- Calculated formation energy: 114 meV per atom

Geometry as CIF:
```
data_NbAl6Ga
_cell_length_a 7.6163
_cell_length_b 5.4372
_cell_length_c 7.4268
_cell_angle_alpha 90.00
_cell_angle_beta 104.71
_cell_angle_gamma 90.00
_symmetry_space_group_name_H-M 'C 1 2/m 1'
_symmetry_Int_Tables_number 12
loop_
_symmetry_equiv_pos_as_xyz
'x,y,z'
'-x,-y,-z'
'-x,y,-z'
'x,-y,z'
'x+1/2,y+1/2,z'
'-x+1/2,-y+1/2,-z'
'-x+1/2,y+1/2,-z'
'x+1/2,-y+1/2,z'
loop_
_atom_site_label
_atom_site_type_symbol
_atom_site_fract_x
_atom_site_fract_y
_atom_site_fract_z
_atom_site_occupancy
Nb1 Nb 0.0000 0.0000 0.0000 1
Al1 Al 0.1371 0.5000 0.9406 1
Al2 Al 0.2073 0.2565 0.2983 1
Ga1 Ga 0.0000 0.5000 0.5000 1
```



[4]
Here is a relaxed NbAl5Ga crystal from Alexandria. Energies are from PBE.

Summary:
- E: -3.98 eV/atom
- Calculated formation energy: 566 meV per atom

Geometry as CIF:
```
data_NbAl5Ga
_cell_length_a 6.8167
_cell_length_b 9.5219
_cell_length_c 5.3450
_cell_angle_alpha 90.00
_cell_angle_beta 90.00
_cell_angle_gamma 90.00
_symmetry_space_group_name_H-M 'I m m 2'
_symmetry_Int_Tables_number 44
loop_
_symmetry_equiv_pos_as_xyz
'x,y,z'
'-x,-y,z'
'-x,y,z'
'x,-y,z'
'x+1/2,y+1/2,z+1/2'
'-x+1/2,-y+1/2,z+1/2'
'-x+1/2,y+1/2,z+1/2'
'x+1/2,-y+1/2,z+1/2'
loop_
_atom_site_label
_atom_site_type_symbol
_atom_site_fract_x
_atom_site_fract_y
_atom_site_fract_z
_atom_site_occupancy
Nb1 Nb 0.0000 0.0000 0.0000 1
Al1 Al 0.0000 0.0000 0.5031 1
Al2 Al 0.0000 0.2630 0.0953 1
Al3 Al 0.1796 0.5000 0.7536 1
Ga1 Ga 0.0000 0.5000 0.3079 1
```



[5]
Here is a relaxed Nb4AlGa crystal from Alexandria. Energies are from PBE.

Summary:
- Offset from the most stable computed form: 0 meV/atom
- E: -8.08 eV/atom
- Calculated formation energy: -241 meV per atom

Geometry as CIF:
```
data_Nb4AlGa
_cell_length_a 6.3376
_cell_length_b 6.3376
_cell_length_c 5.2142
_cell_angle_alpha 90.00
_cell_angle_beta 90.00
_cell_angle_gamma 90.00
_symmetry_space_group_name_H-M 'P 4/m c c'
_symmetry_Int_Tables_number 124
_symmetry_space_group_name_Hall '-P 4 2c'
loop_
_atom_site_label
_atom_site_type_symbol
_atom_site_fract_x
_atom_site_fract_y
_atom_site_fract_z
_atom_site_occupancy
Nb1 Nb 0.1540 0.3439 0.0000 1
Al1 Al 0.5000 0.5000 0.2500 1
Ga1 Ga 0.0000 0.0000 0.2500 1
```



[6]
Here is a relaxed Nb5Al2Ga2 crystal from Alexandria. Energies are from PBE.

Summary:
- E: -7.23 eV/atom
- Calculated formation energy: -134 meV per atom

Geometry as CIF:
```
data_Nb5Al2Ga2
_cell_length_a 16.9400
_cell_length_b 5.1960
_cell_length_c 7.1648
_cell_angle_alpha 90.00
_cell_angle_beta 90.00
_cell_angle_gamma 90.00
_symmetry_space_group_name_H-M 'I m a 2'
_symmetry_Int_Tables_number 46
loop_
_symmetry_equiv_pos_as_xyz
'x,y,z'
'-x,-y,z'
'-x+1/2,y,z'
'x+1/2,-y,z'
'x+1/2,y+1/2,z+1/2'
'-x+1/2,-y+1/2,z+1/2'
'-x,y+1/2,z+1/2'
'x,-y+1/2,z+1/2'
loop_
_atom_site_label
_atom_site_type_symbol
_atom_site_fract_x
_atom_site_fract_y
_atom_site_fract_z
_atom_site_occupancy
Nb1 Nb 0.0955 0.1072 0.0000 1
Nb2 Nb 0.1635 0.5713 0.1577 1
Nb3 Nb 0.2500 0.1045 0.3257 1
Al1 Al 0.0713 0.6018 0.8521 1
Ga1 Ga 0.0000 0.0000 0.6859 1
Ga2 Ga 0.2500 0.5810 0.4716 1
```



[7]
Here is a relaxed Nb2AlGa crystal from Alexandria. Energies are from PBE.

Summary:
- E: -5.83 eV/atom
- Calculated formation energy: 893 meV per atom

Geometry as CIF:
```
data_Nb2AlGa
_cell_length_a 4.3075
_cell_length_b 4.3075
_cell_length_c 21.0170
_cell_angle_alpha 90.00
_cell_angle_beta 90.00
_cell_angle_gamma 120.00
_symmetry_space_group_name_H-M 'R -3 m'
_symmetry_Int_Tables_number 166
_symmetry_space_group_name_Hall '-R 3 2"'
loop_
_atom_site_label
_atom_site_type_symbol
_atom_site_fract_x
_atom_site_fract_y
_atom_site_fract_z
_atom_site_occupancy
Nb1 Nb 0.0000 0.0000 0.1309 1
Al1 Al 0.0000 0.0000 0.0000 1
Ga1 Ga 0.0000 0.0000 0.5000 1
```



[8]
Here is a relaxed Nb8AlGa6 crystal from Alexandria. Energies are from PBE.

Summary:
- E: -6.74 eV/atom
- Calculated formation energy: 87 meV per atom

Geometry as CIF:
```
data_Nb8AlGa6
_cell_length_a 7.5630
_cell_length_b 7.5630
_cell_length_c 16.6553
_cell_angle_alpha 90.00
_cell_angle_beta 90.00
_cell_angle_gamma 120.00
_symmetry_space_group_name_H-M 'R -3'
_symmetry_Int_Tables_number 148
_symmetry_space_group_name_Hall '-R 3'
loop_
_atom_site_label
_atom_site_type_symbol
_atom_site_fract_x
_atom_site_fract_y
_atom_site_fract_z
_atom_site_occupancy
Nb1 Nb 0.0000 0.0000 0.1686 1
Nb2 Nb 0.0129 0.7305 0.7162 1
Al1 Al 0.0000 0.0000 0.5000 1
Ga1 Ga 0.0120 0.6367 0.2232 1
```



[9]
Here is a relaxed NbAlGa3 crystal from Alexandria. Energies are from PBE.

Summary:
- Offset from the most stable computed form: 0 meV/atom
- E: -4.64 eV/atom
- Calculated formation energy: -60 meV per atom

Geometry as CIF:
```
data_NbAlGa3
_cell_length_a 9.5897
_cell_length_b 11.0743
_cell_length_c 6.5348
_cell_angle_alpha 90.00
_cell_angle_beta 90.00
_cell_angle_gamma 90.00
_symmetry_space_group_name_H-M 'C m c e'
_symmetry_Int_Tables_number 64
_symmetry_space_group_name_Hall '-C 2ac 2'
loop_
_atom_site_label
_atom_site_type_symbol
_atom_site_fract_x
_atom_site_fract_y
_atom_site_fract_z
_atom_site_occupancy
Nb1 Nb 0.0000 0.2128 0.1102 1
Al1 Al 0.2500 0.1892 0.7500 1
Ga1 Ga 0.0000 0.0461 0.8089 1
Ga2 Ga 0.1617 0.1050 0.4103 1
```



[10]
Here is a relaxed Nb3Al3Ga2 crystal from Alexandria. Energies are from PBE.

Summary:
- E: -6.24 eV/atom
- Calculated formation energy: -302 meV per atom

Geometry as CIF:
```
data_Nb3Al3Ga2
_cell_length_a 3.8235
_cell_length_b 4.1207
_cell_length_c 8.3535
_cell_angle_alpha 90.00
_cell_angle_beta 90.00
_cell_angle_gamma 90.00
_symmetry_space_group_name_H-M 'P m m m'
_symmetry_Int_Tables_number 47
loop_
_symmetry_equiv_pos_as_xyz
'x,y,z'
'-x,-y,-z'
'-x,-y,z'
'x,y,-z'
'x,-y,-z'
'-x,y,z'
'-x,y,-z'
'x,-y,z'
loop_
_atom_site_label
_atom_site_type_symbol
_atom_site_fract_x
_atom_site_fract_y
_atom_site_fract_z
_atom_site_occupancy
Nb1 Nb 0.0000 0.0000 0.0000 1
Nb2 Nb 0.5000 0.0000 0.2730 1
Al1 Al 0.0000 0.0000 0.5000 1
Al2 Al 0.5000 0.5000 0.0000 1
Al3 Al 0.5000 0.5000 0.5000 1
Ga1 Ga 0.0000 0.5000 0.2384 1
```



[11]
Here is a relaxed NbAl2Ga crystal from Alexandria. Energies are from PBE.

Summary:
- E: -4.99 eV/atom
- Calculated formation energy: 159 meV per atom

Geometry as CIF:
```
data_NbAl2Ga
_cell_length_a 7.2774
_cell_length_b 7.2774
_cell_length_c 5.3658
_cell_angle_alpha 90.00
_cell_angle_beta 90.00
_cell_angle_gamma 90.00
_symmetry_space_group_name_H-M 'I -4 2 d'
_symmetry_Int_Tables_number 122
_symmetry_space_group_name_Hall 'I -4 2bw'
loop_
_atom_site_label
_atom_site_type_symbol
_atom_site_fract_x
_atom_site_fract_y
_atom_site_fract_z
_atom_site_occupancy
Nb1 Nb 0.0000 0.0000 0.0000 1
Al1 Al 0.2268 0.2500 0.6250 1
Ga1 Ga 0.0000 0.0000 0.5000 1
```



[12]
Here is a relaxed Nb12Al3Ga crystal from Alexandria. Energies are from PBE.

Summary:
- E: -8.64 eV/atom
- Calculated formation energy: -200 meV per atom

Geometry as CIF:
```
data_Nb12Al3Ga
_cell_length_a 5.2149
_cell_length_b 5.2168
_cell_length_c 10.3861
_cell_angle_alpha 90.00
_cell_angle_beta 90.00
_cell_angle_gamma 90.00
_symmetry_space_group_name_H-M 'P m m m'
_symmetry_Int_Tables_number 47
loop_
_symmetry_equiv_pos_as_xyz
'x,y,z'
'-x,-y,-z'
'-x,-y,z'
'x,y,-z'
'x,-y,-z'
'-x,y,z'
'-x,y,-z'
'x,-y,z'
loop_
_atom_site_label
_atom_site_type_symbol
_atom_site_fract_x
_atom_site_fract_y
_atom_site_fract_z
_atom_site_occupancy
Nb1 Nb 0.0000 0.0000 0.1255 1
Nb2 Nb 0.0000 0.0000 0.3737 1
Nb3 Nb 0.2492 0.5000 0.0000 1
Nb4 Nb 0.2505 0.5000 0.5000 1
Nb5 Nb 0.5000 0.2522 0.2499 1
Al1 Al 0.0000 0.5000 0.2500 1
Al2 Al 0.5000 0.0000 0.5000 1
Ga1 Ga 0.5000 0.0000 0.0000 1
```



[13]
Here is a relaxed NbAl6Ga2 crystal from Alexandria. Energies are from PBE.

Summary:
- E: -4.33 eV/atom
- Calculated formation energy: -47 meV per atom

Geometry as CIF:
```
data_NbAl6Ga2
_cell_length_a 12.7011
_cell_length_b 4.8703
_cell_length_c 5.0216
_cell_angle_alpha 90.00
_cell_angle_beta 103.91
_cell_angle_gamma 90.00
_symmetry_space_group_name_H-M 'C 1 2/m 1'
_symmetry_Int_Tables_number 12
loop_
_symmetry_equiv_pos_as_xyz
'x,y,z'
'-x,-y,-z'
'-x,y,-z'
'x,-y,z'
'x+1/2,y+1/2,z'
'-x+1/2,-y+1/2,-z'
'-x+1/2,y+1/2,-z'
'x+1/2,-y+1/2,z'
loop_
_atom_site_label
_atom_site_type_symbol
_atom_site_fract_x
_atom_site_fract_y
_atom_site_fract_z
_atom_site_occupancy
Nb1 Nb 0.0000 0.0000 0.0000 1
Al1 Al 0.1114 0.0000 0.5677 1
Al2 Al 0.1563 0.5000 0.3086 1
Al3 Al 0.2200 0.0000 0.1272 1
Ga1 Ga 0.0615 0.5000 0.7767 1
```



[14]
Here is a relaxed NbAl2Ga crystal from Alexandria. Energies are from PBE.

Summary:
- E: -5.34 eV/atom
- Calculated formation energy: -196 meV per atom

Geometry as CIF:
```
data_NbAl2Ga
_cell_length_a 5.4021
_cell_length_b 4.0208
_cell_length_c 13.3855
_cell_angle_alpha 90.00
_cell_angle_beta 90.00
_cell_angle_gamma 90.00
_symmetry_space_group_name_H-M 'P n m a'
_symmetry_Int_Tables_number 62
loop_
_symmetry_equiv_pos_as_xyz
'x,y,z'
'-x,-y,-z'
'-x+1/2,-y,z+1/2'
'x+1/2,y,-z+1/2'
'x+1/2,-y+1/2,-z+1/2'
'-x+1/2,y+1/2,z+1/2'
'-x,y+1/2,-z'
'x,-y+1/2,z'
loop_
_atom_site_label
_atom_site_type_symbol
_atom_site_fract_x
_atom_site_fract_y
_atom_site_fract_z
_atom_site_occupancy
Nb1 Nb 0.0065 0.2500 0.1664 1
Al1 Al 0.1563 0.7500 0.0304 1
Al2 Al 0.2494 0.7500 0.2532 1
Ga1 Ga 0.0017 0.2500 0.3805 1
```



[15]
Here is a relaxed NbAl4Ga3 crystal from Alexandria. Energies are from PBE.

Summary:
- E: -4.33 eV/atom
- Calculated formation energy: -65 meV per atom

Geometry as CIF:
```
data_NbAl4Ga3
_cell_length_a 5.3679
_cell_length_b 9.6576
_cell_length_c 5.4540
_cell_angle_alpha 90.00
_cell_angle_beta 90.00
_cell_angle_gamma 90.00
_symmetry_space_group_name_H-M 'P m n 21'
_symmetry_Int_Tables_number 31
loop_
_symmetry_equiv_pos_as_xyz
'x,y,z'
'-x+1/2,-y,z+1/2'
'-x,y,z'
'x+1/2,-y,z+1/2'
loop_
_atom_site_label
_atom_site_type_symbol
_atom_site_fract_x
_atom_site_fract_y
_atom_site_fract_z
_atom_site_occupancy
Nb1 Nb 0.0000 0.1625 0.0000 1
Al1 Al 0.0000 0.1464 0.4988 1
Al2 Al 0.0000 0.9006 0.2531 1
Al3 Al 0.2466 0.6359 0.7499 1
Ga1 Ga 0.0000 0.9028 0.7486 1
Ga2 Ga 0.2465 0.6376 0.2514 1
```



[16]
Here is a relaxed PaNbAlGa2 crystal from Alexandria. Energies are from PBE.

Summary:
- E: -6.13 eV/atom
- Calculated formation energy: -256 meV per atom

Geometry as CIF:
```
data_PaNbAlGa2
_cell_length_a 3.9930
_cell_length_b 3.9930
_cell_length_c 12.0726
_cell_angle_alpha 90.00
_cell_angle_beta 90.00
_cell_angle_gamma 90.00
_symmetry_space_group_name_H-M 'I -4 m 2'
_symmetry_Int_Tables_number 119
_symmetry_space_group_name_Hall 'I -4 -2'
loop_
_atom_site_label
_atom_site_type_symbol
_atom_site_fract_x
_atom_site_fract_y
_atom_site_fract_z
_atom_site_occupancy
Pa1 Pa 0.0000 0.0000 0.0000 1
Nb1 Nb 0.0000 0.5000 0.2500 1
Al1 Al 0.0000 0.5000 0.7500 1
Ga1 Ga 0.0000 0.0000 0.3972 1
```



[17]
Here is a relaxed NbAl2GaTc crystal from Alexandria. Energies are from PBE.

Summary:
- E: -5.07 eV/atom
- Calculated formation energy: 1120 meV per atom

Geometry as CIF:
```
data_NbAl2GaTc
_cell_length_a 4.4949
_cell_length_b 4.4949
_cell_length_c 4.8206
_cell_angle_alpha 90.00
_cell_angle_beta 90.00
_cell_angle_gamma 90.00
_symmetry_space_group_name_H-M 'P 4/m m m'
_symmetry_Int_Tables_number 123
_symmetry_space_group_name_Hall '-P 4 2'
loop_
_atom_site_label
_atom_site_type_symbol
_atom_site_fract_x
_atom_site_fract_y
_atom_site_fract_z
_atom_site_occupancy
Nb1 Nb 0.0000 0.0000 0.0000 1
Al1 Al 0.0000 0.5000 0.5000 1
Ga1 Ga 0.0000 0.0000 0.5000 1
Tc1 Tc 0.5000 0.5000 0.0000 1
```



[18]
Here is a relaxed NbAlGaTe2 crystal from Alexandria. Energies are from PBE.

Summary:
- Uncorrected formation energy: 0.2836 eV per atom
- E: -4.34 eV/atom

Geometry as CIF:
```
data_NbAlGaTe2
_cell_length_a 5.4444
_cell_length_b 5.4444
_cell_length_c 5.1166
_cell_angle_alpha 90.00
_cell_angle_beta 90.00
_cell_angle_gamma 90.00
_symmetry_space_group_name_H-M 'P 4/m m m'
_symmetry_Int_Tables_number 123
_symmetry_space_group_name_Hall '-P 4 2'
loop_
_atom_site_label
_atom_site_type_symbol
_atom_site_fract_x
_atom_site_fract_y
_atom_site_fract_z
_atom_site_occupancy
Nb1 Nb 0.0000 0.0000 0.0000 1
Al1 Al 0.5000 0.5000 0.5000 1
Ga1 Ga 0.0000 0.0000 0.5000 1
Te1 Te 0.0000 0.5000 0.0000 1
```



[19]
Here is a relaxed Ti5NbAl2Ga crystal from Alexandria. Energies are from PBE.

Summary:
- E: -6.61 eV/atom
- Calculated formation energy: 59 meV per atom

Geometry as CIF:
```
data_Ti5NbAl2Ga
_cell_length_a 6.8478
_cell_length_b 6.8478
_cell_length_c 13.3286
_cell_angle_alpha 90.00
_cell_angle_beta 90.00
_cell_angle_gamma 90.00
_symmetry_space_group_name_H-M 'I 4/m c m'
_symmetry_Int_Tables_number 140
_symmetry_space_group_name_Hall '-I 4 2c'
loop_
_atom_site_label
_atom_site_type_symbol
_atom_site_fract_x
_atom_site_fract_y
_atom_site_fract_z
_atom_site_occupancy
Ti1 Ti 0.0000 0.0000 0.0000 1
Ti2 Ti 0.2112 0.2888 0.1380 1
Nb1 Nb 0.0000 0.5000 0.2500 1
Al1 Al 0.1198 0.3802 0.5000 1
Ga1 Ga 0.0000 0.0000 0.2500 1
```



[20]
Here is a relaxed Ti5NbAlGa2 crystal from Alexandria. Energies are from PBE.

Summary:
- E: -6.62 eV/atom
- Calculated formation energy: -31 meV per atom

Geometry as CIF:
```
data_Ti5NbAlGa2
_cell_length_a 6.6839
_cell_length_b 6.6839
_cell_length_c 13.9117
_cell_angle_alpha 90.00
_cell_angle_beta 90.00
_cell_angle_gamma 90.00
_symmetry_space_group_name_H-M 'I 4/m c m'
_symmetry_Int_Tables_number 140
_symmetry_space_group_name_Hall '-I 4 2c'
loop_
_atom_site_label
_atom_site_type_symbol
_atom_site_fract_x
_atom_site_fract_y
_atom_site_fract_z
_atom_site_occupancy
Ti1 Ti 0.0000 0.0000 0.0000 1
Ti2 Ti 0.2101 0.2899 0.1352 1
Nb1 Nb 0.0000 0.5000 0.2500 1
Al1 Al 0.0000 0.0000 0.2500 1
Ga1 Ga 0.1208 0.3792 0.5000 1
```